Tb8ScHg2: optimized geometry, PBE-GGA.

For the energy of formation from the pure elements, the calculation gives -1.17 kcal/mol of atoms. The value obtained for the density of states at the Fermi level is 15.39 states/eV/f.u.

The structure belongs to space group C2/m (No. 12); the cell edges are 8.755, 14.912 and 5.498 Å and the angles 90.00°, 111.38° and 90.00°. The asymmetric unit holds Tb at (0.000, 0.219, 0.000), Tb at (0.108, 0.500, 0.802), Tb at (0.206, 0.113, 0.605), Sc at (0.000, 0.000, 0.000) and Hg at (0.000, 0.305, 0.500).